# Nd3Al2In (GGA-PBE, optimized geometry)
data_Nd3Al2In
_space_group_name_H-M_alt 'P 4/m m m'
_space_group_IT_number 123
_space_group_name_Hall '-P 4 2'
_cell_length_a 3.769
_cell_length_b 3.769
_cell_length_c 11.410
_cell_angle_alpha 90.00
_cell_angle_beta 90.00
_cell_angle_gamma 90.00
loop_
_atom_site_label
_atom_site_fract_x
_atom_site_fract_y
_atom_site_fract_z
_atom_site_occupancy
Nd1 0.000 0.000 0.000 1
Nd2 0.000 0.000 0.323 1
Al1 0.500 0.500 0.161 1
In1 0.500 0.500 0.500 1
# offset from the most stable computed form = 0.0000 eV/atom
# E_tot = -26.90 eV per cell
# formation energy from the elements = -395 meV/atom

***

# Nd7Al2In2 (GGA-PBE, optimized geometry)
data_Nd7Al2In2
_space_group_name_H-M_alt 'C m m m'
_space_group_IT_number 65
_space_group_name_Hall '-C 2 2'
_cell_length_a 7.907
_cell_length_b 11.449
_cell_length_c 7.970
_cell_angle_alpha 90.00
_cell_angle_beta 90.00
_cell_angle_gamma 90.00
loop_
_atom_site_label
_atom_site_fract_x
_atom_site_fract_y
_atom_site_fract_z
_atom_site_occupancy
Nd1 0.000 0.000 0.000 1
Nd2 0.000 0.500 0.247 1
Nd3 0.250 0.250 0.283 1
Al1 0.000 0.286 0.000 1
In1 0.178 0.000 0.500 1
# E_tot = -94.33 eV per cell
# formation energy from the elements = -75 meV/atom